The following is a DFT calculation (PBE) of a geometry-optimized Ho3Sc3In2Fe structure.

Lattice parameters (Å, degrees): 8.275 8.275 3.751 90.00 90.00 120.00
Atoms (fractional coordinates):
Ho 0.000 0.386 0.000
Ho 0.386 0.000 0.000
Ho 0.614 0.614 0.000
Sc 0.000 0.772 0.500
Sc 0.228 0.228 0.500
Sc 0.772 0.000 0.500
In 0.333 0.667 0.500
In 0.667 0.333 0.500
Fe 0.000 0.000 0.000

Formation energy from the elements (eV/atom): -0.269